PBE+U CePaMn2O8, optimized geometry; DOS at the Fermi energy = 6.2 states/eV/f.u.; total DFT energy (no corrections) = -8.24 eV/atom; M_tot = 7.0 μB per formula unit
1.0
-4.389 0.906 2.738
-2.884 -1.398 -4.160
3.648 -4.998 2.466
O Mn Ce Pa
8 2 1 1
Direct
0.391 0.292 0.142 O
0.708 0.250 0.858 O
0.006 0.402 0.349 O
0.150 0.609 0.858 O
0.343 0.947 0.349 O
0.750 0.850 0.142 O
0.053 0.994 0.651 O
0.598 0.657 0.651 O
0.500 0.500 0.000 Mn
0.250 0.750 0.500 Mn
0.750 0.250 0.500 Ce
0.000 0.000 0.000 Pa